# 1
First-principles (GGA-PBE) data for a geometry-optimized ZrH2PbO2F3 structure, as listed in the Open Quantum Materials Database.

Spin magnetization, μB/f.u.: 1.000
Total DFT energy (no corrections), eV per cell: -106.97

Cell: 5.241 6.338 7.108 Å, 74.00 89.00 70.19°
Last column: magnetic moment on the atom in μB.
Fractional coordinates of all 18 atoms:
H  0.745  0.756  0.429  0.01
F  0.182  0.475  0.805  0.01
O  0.910  0.804  0.421  0.00
F  0.525  0.277  0.526  0.01
F  0.475  0.723  0.474  0.01
F  0.818  0.525  0.195  0.01
O  0.090  0.196  0.579  0.00
F  0.459  0.797  0.866  0.01
O  0.112  0.091  0.120  0.00
Zr  0.840  0.181  0.343  0.71
H  0.255  0.244  0.571  0.01
Zr  0.160  0.819  0.657  0.71
O  0.888  0.909  0.880  0.00
H  0.718  0.871  0.886  0.00
Pb  0.796  0.324  0.828  0.01
Pb  0.204  0.676  0.172  0.01
F  0.541  0.203  0.134  0.01
H  0.282  0.129  0.114  0.00

***

# 2
First-principles (GGA-PBE) data for a geometry-optimized H3Pd2O2F12 structure, as listed in the Open Quantum Materials Database.

Total DFT energy (no corrections), eV per cell: -145.52

Cell: 5.200 9.110 9.185 Å, 113.70 99.65 102.66°
Fractional coordinates of all 38 atoms:
F  0.119  0.799  0.594
F  0.069  0.050  0.886
Pd  0.157  0.226  0.808
F  0.757  0.269  0.140
F  0.243  0.731  0.860
H  0.839  0.026  0.881
F  0.946  0.622  0.021
Pd  0.438  0.756  0.701
F  0.931  0.950  0.114
O  0.838  0.472  0.705
F  0.239  0.390  0.730
F  0.542  0.332  0.947
F  0.373  0.205  0.446
F  0.790  0.136  0.671
F  0.210  0.864  0.329
F  0.275  0.524  0.549
F  0.263  0.068  0.625
F  0.458  0.668  0.053
F  0.262  0.286  0.195
Pd  0.843  0.774  0.192
O  0.162  0.528  0.295
H  0.637  0.297  0.045
H  0.161  0.974  0.119
F  0.881  0.201  0.406
O  0.334  0.635  0.294
F  0.609  0.000  0.866
O  0.666  0.365  0.706
F  0.761  0.610  0.270
F  0.725  0.476  0.451
H  0.363  0.703  0.955
H  0.814  0.067  0.394
F  0.737  0.932  0.375
F  0.738  0.714  0.805
H  0.186  0.933  0.606
F  0.626  0.795  0.554
F  0.054  0.378  0.979
F  0.391  0.000  0.134
Pd  0.562  0.244  0.299

***

# 3
First-principles (GGA-PBE) data for a geometry-optimized H4PdO2F2 structure, as listed in the Open Quantum Materials Database.

Total DFT energy (no corrections), eV per cell: -42.08

Cell: 4.986 4.986 3.081 Å, 92.86 92.86 95.66°
Fractional coordinates of all 9 atoms:
Pd  0.000  0.000  0.000
O  0.732  0.268  0.000
F  0.275  0.275  0.313
O  0.268  0.732  0.000
H  0.247  0.556  0.146
H  0.444  0.753  0.854
F  0.725  0.725  0.687
H  0.753  0.444  0.854
H  0.556  0.247  0.146